1.
Here is crystalline Y2PdAu2 at its relaxed geometry from Alexandria. Energies are from GGA-PBEsol.

The energy of formation from the pure elements comes out at -0.51 eV per atom. As for the volume: 23.39 A^3/atom. The density comes out at 9.627 g/cm³. For the total energy, the calculation gives -30.0 eV/f.u. As for the space group: I4/mmm. For the excess energy over the best structure of this formula in the dataset, the calculation gives 1.39 eV/f.u.

Lattice parameters (Å, degrees): 5.5102 5.5102 5.5102 120.73 120.73 88.75
Last column: nearest neighbours and their distance in Å.
Sites, in units of the cell vectors:
Y: 0.2500 0.7500 0.5000  4 Au 2.82
Y: 0.7500 0.2500 0.5000  4 Au 2.82
Pd: 0.0000 0.0000 0.0000  2 Au 2.68
Au: 0.3406 0.3406 0.0000  1 Au 2.51, 1 Pd 2.68
Au: 0.6594 0.6594 0.0000  1 Au 2.51, 1 Pd 2.68



2.
Here is crystalline SrHfGa2Pd at its relaxed geometry from Alexandria. Energies are from GGA-PBEsol.

The energy of formation from the pure elements comes out at 0.04 eV per atom. As for the volume: 23.74 A^3/atom. The density comes out at 7.163 g/cm³. For the total energy, the calculation gives -24.8 eV/f.u. As for the space group: P4/mmm.

Lattice parameters (Å, degrees): 4.8315 4.8315 5.0846 90.00 90.00 90.00
Last column: nearest neighbours and their distance in Å.
Sites, in units of the cell vectors:
Sr: 0.0000 0.0000 0.0000  4 Hf 3.42, 8 Ga 3.51
Hf: 0.5000 0.5000 0.0000  2 Pd 2.54
Ga: 0.0000 0.5000 0.5000  2 Pd 2.42
Ga: 0.5000 0.0000 0.5000  2 Pd 2.42
Pd: 0.5000 0.5000 0.5000  4 Ga 2.42, 2 Hf 2.54



3.
Here is crystalline CdMo2Se at its relaxed geometry from Alexandria. Energies are from GGA-PBEsol.

As for the volume: 18.14 A^3/atom. As for the uncorrected formation energy: 0.15 eV per atom. The density comes out at 8.772 g/cm³. For the total energy, the calculation gives -28.0 eV/f.u. As for the space group: R3m. For the excess energy over the best structure of this formula in the dataset, the calculation gives 0.09 eV/f.u.

Lattice parameters (Å, degrees): 8.8294 8.8294 8.8294 20.31 20.31 20.31
Last column: nearest neighbours and their distance in Å.
Sites, in units of the cell vectors:
Cd: 0.0000 0.0000 0.0000  3 Mo 2.97, 6 Cd 3.11, 3 Se 3.16
Mo: 0.2422 0.2422 0.2422  3 Mo 2.54
Mo: 0.5065 0.5065 0.5065  3 Mo 2.54, 3 Se 2.61
Se: 0.7670 0.7670 0.7670  3 Mo 2.61



Values for Fermi-level density of states, states/eV per cell, ordered as above
2.86, 5.30, 1.70